! Rb2ScFeF6 PBE+U relaxed; values from VASP
! **M_tot**: 3.1 μB per formula unit
! **Final energy**: -5.373 eV per atom
&SYSTEM
  ibrav = 0, nat = 10, ntyp = 4
/
ATOMIC_SPECIES
Rb 85.47 Rb.upf
Sc 44.96 Sc.upf
Fe 55.84 Fe.upf
F 19.00 F.upf
ATOMIC_POSITIONS crystal
Rb 0.250 0.750 0.500
Rb 0.750 0.250 0.500
Sc 0.000 0.000 0.000
Fe 0.500 0.500 0.000
F 0.244 0.244 0.488
F 0.244 0.756 0.000
F 0.253 0.253 0.000
F 0.747 0.747 0.000
F 0.756 0.244 0.000
F 0.756 0.756 0.512
CELL_PARAMETERS angstrom
-3.066 3.066 4.258
3.066 -3.066 4.258
3.066 3.066 -4.258